Compound: LiMnNiOs
Source: Alexandria via LeMat-Bulk
Functional: PBE-GGA
Structure: relaxed

a b c (Å): 4.050 4.050 4.050
angles (deg): 60.00 60.00 60.00
Element x y z (fractional)
Li: 0.000 0.000 0.000
Mn: 0.500 0.500 0.500
Ni: 0.250 0.250 0.250
Os: 0.750 0.750 0.750

The density is 10.99 Mg/m³. The calculation puts the volume at 11.7 Å³/atom. The calculation puts the formation energy at 0.35 eV/f.u.